The following is a PBE with a Hubbard U calculation of a relaxed K3Ac3FeO8 crystal, from Alexandria.

Values from the calculation:
Crystal system = trigonal
Total energy = -93.8 eV per cell
Space-group type = R-3m, No. 166

a = 7.618 Å, b = 7.618 Å, c = 7.618 Å
α = 57.81°, β = 57.81°, γ = 57.81°
Positions (direct):
K (0.000, 0.500, 0.500)
K (0.500, 0.000, 0.500)
K (0.500, 0.500, 0.000)
Ac (0.000, 0.000, 0.500)
Ac (0.000, 0.500, 0.000)
Ac (0.500, 0.000, 0.000)
Fe (0.500, 0.500, 0.500)
O (0.233, 0.233, 0.233)
O (0.272, 0.701, 0.701)
O (0.299, 0.299, 0.728)
O (0.299, 0.728, 0.299)
O (0.701, 0.272, 0.701)
O (0.701, 0.701, 0.272)
O (0.728, 0.299, 0.299)
O (0.767, 0.767, 0.767)